This record from Alexandria describes a relaxed structure of SmHo2Hg8. The functional is PBE.

Unit cell a=5.0834 b=7.5832 c=14.3358 alpha=90.00 beta=90.00 gamma=90.00
Closest atoms and distances in Å follow each position.
Space group Immm (No. 71)
One atom of each set of equivalent atoms:
Sm (0.0000, 0.0000, 0.0000) (multiplicity 2)  12 Hg 3.07-3.39
Ho (0.0000, 0.0000, 0.3047) (multiplicity 4)  10 Hg 3.07-3.32
Hg (0.0000, 0.2048, 0.5000) (multiplicity 4)  7 Hg 3.11-3.31, 2 Ho 3.20, 2 Sm 3.39
Hg (0.0000, 0.2916, 0.1481) (multiplicity 8)  1 Sm 3.07, 3 Ho 3.07-3.15, 6 Hg 3.16-3.37
Hg (0.0000, 0.5000, 0.3441) (multiplicity 4)  8 Hg 3.16-3.37, 2 Ho 3.32, 2 Sm 3.38


This record from Alexandria describes a relaxed structure of InIrRh2. The functional is PBE.

Unit cell a=2.8455 b=4.7128 c=9.4674 alpha=90.00 beta=90.00 gamma=90.00
Closest atoms and distances in Å follow each position.
Space group Imm2 (No. 44)
One atom of each set of equivalent atoms:
In (0.0000, 0.0000, 0.0000) (multiplicity 2)  6 Rh 2.75-2.82, 2 Ir 2.84, 2 In 2.85
Ir (0.0000, 0.5000, 0.2406) (multiplicity 2)  6 Rh 2.65-2.76, 2 In 2.84, 2 Ir 2.85
Rh (0.0000, 0.0000, 0.5046) (multiplicity 2)  2 Ir 2.65, 4 Rh 2.74-2.85, 4 In 2.75
Rh (0.0000, 0.5000, 0.7578) (multiplicity 2)  4 Rh 2.74-2.85, 4 Ir 2.76, 2 In 2.82


This record from Alexandria describes a relaxed structure of SrMgI2. The functional is PBE.

## Properties
raw formation energy: -0.6625 eV/atom

Unit cell a=4.2899 b=4.2899 c=31.6056 alpha=90.00 beta=90.00 gamma=120.00
Closest atoms and distances in Å follow each position.
Space group R-3m (No. 166, hexagonal axes)
One atom of each set of equivalent atoms:
Sr (0.0000, 0.0000, 0.0000) (multiplicity 3)  2 I 3.58
Mg (0.0000, 0.0000, 0.5000) (multiplicity 3)  6 I 3.00
I (0.0000, 0.0000, 0.1133) (multiplicity 6)  3 Mg 3.00


Calculated values (eV per atom) of final energy for the records, taken in order: -1.785 -6.520 -2.257.
Calculated values (μB per cell) of total magnetic moment for the records, taken in order: 0.0 0.0 0.0.